[1]
Below is Y2CdHg after structural relaxation, with properties calculated at the GGA-PBE level.

a b c (Å): 6.7677 6.7677 6.7677
angles (deg): 106.08 106.08 116.49
Fractional positions:
Y  0.1152  0.6250  0.9902
Y  0.3750  0.3652  0.4902
Y  0.6348  0.1250  0.0098
Y  0.8750  0.8848  0.5098
Cd  0.2500  0.7500  0.5000
Cd  0.5000  0.5000  0.0000
Hg  0.0000  0.0000  0.0000
Hg  0.7500  0.2500  0.5000

Summary:
The excess energy over the best structure of this formula in the dataset is 368.6 meV per atom. The formation energy is -0.063 eV/atom.

=====

[2]
Below is Ca2MnP2 after structural relaxation, with properties calculated at the GGA-PBE level.

a b c (Å): 7.3218 7.3218 7.3218
angles (deg): 128.84 70.85 134.50
Fractional positions:
Ca  0.1440  0.1836  0.3275
Ca  0.3560  0.6836  0.0396
Ca  0.6440  0.3164  0.9604
Ca  0.8560  0.8164  0.6725
Mn  0.2500  0.7500  0.5000
Mn  0.7500  0.2500  0.5000
P  0.1087  0.7110  0.8198
P  0.3913  0.2110  0.6023
P  0.6087  0.7890  0.3977
P  0.8913  0.2890  0.1802

Summary:
The excess energy over the best structure of this formula in the dataset is 0.0 meV per atom. The formation energy is -0.859 eV/atom.

=====

[3]
Below is CaHg2Br after structural relaxation, with properties calculated at the GGA-PBE level.

a b c (Å): 5.8742 5.8742 5.8742
angles (deg): 131.54 131.54 70.95
Fractional positions:
Ca  0.0000  0.0000  0.0000
Hg  0.2500  0.7500  0.5000
Hg  0.5000  0.5000  0.0000
Br  0.7500  0.2500  0.5000

Summary:
The excess energy over the best structure of this formula in the dataset is 104.7 meV per atom. The calculation puts the raw formation energy at -0.64 eV/atom.

=====

[4]
Below is Sm5DyPb6 after structural relaxation, with properties calculated at the GGA-PBE level.

a b c (Å): 7.8647 7.8647 8.7105
angles (deg): 94.37 94.37 135.91
Fractional positions:
Sm  0.0000  0.0000  0.0000
Sm  0.3312  0.6688  0.0000
Sm  0.3354  0.6646  0.5000
Sm  0.6646  0.3354  0.5000
Sm  0.6688  0.3312  0.0000
Dy  0.0000  0.0000  0.5000
Pb  0.1638  0.8331  0.2530
Pb  0.1669  0.8362  0.7470
Pb  0.4885  0.4885  0.7518
Pb  0.5115  0.5115  0.2482
Pb  0.8331  0.1638  0.2530
Pb  0.8362  0.1669  0.7470

Summary:
The excess energy over the best structure of this formula in the dataset is 3.0 meV per atom. The formation energy is -0.477 eV/atom.

=====

[5]
Below is Ac2Nd3Ag2 after structural relaxation, with properties calculated at the GGA-PBE level.

a b c (Å): 16.0970 16.0970 3.8094
angles (deg): 90.00 90.00 166.31
Fractional positions:
Ac  0.1984  0.8016  0.0000
Ac  0.8016  0.1984  0.0000
Nd  0.0782  0.9218  0.0000
Nd  0.5000  0.5000  0.5000
Nd  0.9218  0.0782  0.0000
Ag  0.3677  0.6323  0.5000
Ag  0.6323  0.3677  0.5000

Summary:
The excess energy over the best structure of this formula in the dataset is 49.4 meV per atom. The formation energy is -0.070 eV/atom.

=====

[6]
Below is ScIn3Bi after structural relaxation, with properties calculated at the GGA-PBE level.

a b c (Å): 5.5781 5.5781 5.5781
angles (deg): 90.00 90.00 90.00
Fractional positions:
Sc  0.0000  0.0000  0.0000
In  0.0000  0.0000  0.5000
In  0.0000  0.5000  0.0000
In  0.5000  0.0000  0.0000
Bi  0.5000  0.5000  0.5000

Summary:
The excess energy over the best structure of this formula in the dataset is 0.0 meV per atom. The formation energy is 0.473 eV/atom.

=====

[7]
Below is PmSm5Dy3 after structural relaxation, with properties calculated at the GGA-PBE level.

a b c (Å): 8.8833 8.8833 11.5643
angles (deg): 108.34 108.34 44.70
Fractional positions:
Pm  0.2388  0.7612  0.7500
Pm  0.7612  0.2388  0.2500
Sm  0.0769  0.2679  0.8512
Sm  0.2679  0.0769  0.3512
Sm  0.3149  0.6851  0.2500
Sm  0.3868  0.3925  0.9499
Sm  0.3925  0.3868  0.4499
Sm  0.6075  0.6132  0.5501
Sm  0.6132  0.6075  0.0501
Sm  0.6851  0.3149  0.7500
Sm  0.7321  0.9231  0.6488
Sm  0.9231  0.7321  0.1488
Dy  0.0000  0.0000  0.0000
Dy  0.0000  0.0000  0.5000
Dy  0.1575  0.3627  0.6300
Dy  0.3627  0.1575  0.1300
Dy  0.6373  0.8425  0.8700
Dy  0.8425  0.6373  0.3700

Summary:
The excess energy over the best structure of this formula in the dataset is 0.0 meV per atom. The formation energy is 0.173 eV/atom.

=====

[8]
Below is Ce3ZrCo8 after structural relaxation, with properties calculated at the GGA-PBE level.

a b c (Å): 8.6114 8.6114 8.6114
angles (deg): 33.54 33.54 33.54
Fractional positions:
Ce  0.0000  0.0000  0.0000
Ce  0.1247  0.1247  0.1247
Ce  0.4932  0.4932  0.4932
Zr  0.6191  0.6191  0.6191
Co  0.0523  0.5584  0.5584
Co  0.0595  0.0595  0.5647
Co  0.0595  0.5647  0.0595
Co  0.3079  0.3079  0.3079
Co  0.5584  0.0523  0.5584
Co  0.5584  0.5584  0.0523
Co  0.5647  0.0595  0.0595
Co  0.8088  0.8088  0.8088

Summary:
The formation energy is -0.236 eV/atom.

=====

[9]
Below is NaHSeN2 after structural relaxation, with properties calculated at the GGA-PBE level.

a b c (Å): 3.9747 3.9747 3.4816
angles (deg): 90.00 90.00 90.00
Fractional positions:
Na  0.0000  0.0000  0.0000
H  0.5000  0.5000  0.5000
Se  0.5000  0.5000  0.0000
N  0.0000  0.5000  0.5000
N  0.5000  0.0000  0.5000

Summary:
The excess energy over the best structure of this formula in the dataset is 0.0 meV per atom.

=====

[10]
Below is SrY2Ir after structural relaxation, with properties calculated at the GGA-PBE level.

a b c (Å): 7.1107 7.1107 7.1107
angles (deg): 102.32 102.32 124.98
Fractional positions:
Sr  0.0000  0.0000  0.0000
Sr  0.7500  0.2500  0.5000
Y  0.2233  0.6250  0.0983
Y  0.3750  0.4733  0.5983
Y  0.5267  0.1250  0.9017
Y  0.8750  0.7767  0.4017
Ir  0.2500  0.7500  0.5000
Ir  0.5000  0.5000  0.0000

Summary:
The excess energy over the best structure of this formula in the dataset is 245.3 meV per atom. The formation energy is -0.155 eV/atom.

=====

[11]
Below is NpUPa2 after structural relaxation, with properties calculated at the GGA-PBE level.

a b c (Å): 5.3588 5.3588 3.1264
angles (deg): 90.00 90.00 90.00
Fractional positions:
Np  0.0000  0.0000  0.0000
U  0.5000  0.5000  0.0000
Pa  0.0000  0.5000  0.5000
Pa  0.5000  0.0000  0.5000

Summary:
The excess energy over the best structure of this formula in the dataset is 0.0 meV per atom. The formation energy is 0.204 eV/atom.

=====

[12]
Below is BaNaNb after structural relaxation, with properties calculated at the GGA-PBE level.

a b c (Å): 6.8463 6.8463 5.7859
angles (deg): 114.85 114.85 83.42
Fractional positions:
Ba  0.0000  0.0000  0.0000
Ba  0.6275  0.3725  0.5000
Na  0.2265  0.4095  0.8188
Na  0.5905  0.7735  0.1812
Nb  0.1074  0.6380  0.3734
Nb  0.3620  0.8926  0.6266

Summary:
The excess energy over the best structure of this formula in the dataset is 355.2 meV per atom. The formation energy is 0.691 eV/atom.

=====

[13]
Below is Pr2ErCuS5 after structural relaxation, with properties calculated at the GGA-PBE level.

a b c (Å): 8.6786 8.6786 11.6898
angles (deg): 90.00 90.00 153.81
Fractional positions:
Pr  0.1090  0.8910  0.5000
Pr  0.1228  0.8772  0.1242
Pr  0.8772  0.1228  0.6242
Pr  0.8910  0.1090  0.0000
Er  0.1948  0.8052  0.8237
Er  0.8052  0.1948  0.3237
Cu  0.4420  0.5580  0.2676
Cu  0.5580  0.4420  0.7676
S  0.0438  0.9562  0.8712
S  0.2889  0.7111  0.4840
S  0.3125  0.6875  0.1644
S  0.3557  0.6443  0.8153
S  0.4989  0.5011  0.5924
S  0.5011  0.4989  0.0924
S  0.6443  0.3557  0.3153
S  0.6875  0.3125  0.6644
S  0.7111  0.2889  0.9840
S  0.9562  0.0438  0.3712

Summary:
The calculation puts the raw formation energy at -1.76 eV/atom.

=====

[14]
Below is ZnIn2Pb2 after structural relaxation, with properties calculated at the GGA-PBE level.

a b c (Å): 7.7501 7.7501 4.9159
angles (deg): 90.00 90.00 90.00
Fractional positions:
Zn  0.0000  0.0000  0.0000
Zn  0.5000  0.5000  0.0000
In  0.1542  0.3458  0.5000
In  0.3458  0.8458  0.5000
In  0.6542  0.1542  0.5000
In  0.8458  0.6542  0.5000
Pb  0.1546  0.6546  0.0000
Pb  0.3454  0.1546  0.0000
Pb  0.6546  0.8454  0.0000
Pb  0.8454  0.3454  0.0000

Summary:
The excess energy over the best structure of this formula in the dataset is 53.0 meV per atom. The formation energy is 0.167 eV/atom.

=====

[15]
Below is CdSeCl2 after structural relaxation, with properties calculated at the GGA-PBE level.

a b c (Å): 5.2231 5.2231 3.3462
angles (deg): 90.00 90.00 105.79
Fractional positions:
Cd  0.0000  0.0000  0.0000
Se  0.5000  0.5000  0.0000
Cl  0.0000  0.5000  0.5000
Cl  0.5000  0.0000  0.5000

Summary:
The excess energy over the best structure of this formula in the dataset is 677.4 meV per atom. The calculation puts the raw formation energy at 0.14 eV/atom.

=====

[16]
Below is Pm2Pr5Sc after structural relaxation, with properties calculated at the GGA-PBE level.

a b c (Å): 8.9765 8.9765 8.9765
angles (deg): 157.11 101.44 83.13
Fractional positions:
Pm  0.2408  0.2408  0.0000
Pm  0.7592  0.7592  0.0000
Pr  0.1292  0.8724  0.2568
Pr  0.3844  0.1276  0.2568
Pr  0.5000  0.5000  0.0000
Pr  0.6156  0.8724  0.7432
Pr  0.8708  0.1276  0.7432
Sc  0.0000  0.5000  0.5000

Summary:
The formation energy is 0.075 eV/atom.

=====

[17]
Below is NbF after structural relaxation, with properties calculated at the GGA-PBE level.

a b c (Å): 3.4024 3.4024 3.4024
angles (deg): 60.00 60.00 60.00
Fractional positions:
Nb  0.0000  0.0000  0.0000
F  0.5000  0.5000  0.5000

Summary:
The excess energy over the best structure of this formula in the dataset is 1407.0 meV per atom. The calculation puts the raw formation energy at -0.23 eV/atom.

=====

no.,calculated density (g/cm³)
1,6.9
2,3.1
3,7.8
4,9.8
5,7.8
6,5.7
7,7.6
8,9.4
9,4.0
10,5.8
11,17.3
12,3.8
13,5.8
14,8.0
15,5.0
16,6.3
17,6.7